Entry 1:
DFT (GGA-PBE) results for a geometry-optimized UMnFe structure.

## Properties
Total magnetization in μB per atom: 0.480
Formation energy in kJ/mol of atoms: -7.85
SG: Imma
Calculated volume in Å³/cell: 87

extended XYZ file:
```
6
Lattice="-2.5497 2.5031 3.3939 2.5497 -2.5031 3.3939 2.5497 2.5031 -3.3939" Properties=species:S:1:pos:R:3 pbc="T T T"
U 2.5497 -1.2515 2.6166
U 0.0000 3.7546 0.7773
Mn 0.0000 0.0000 3.3939
Mn 2.5497 0.0000 0.0000
Fe 1.2749 1.2515 1.6970
Fe -1.2749 1.2515 1.6970
```



Entry 2:
DFT (GGA-PBE) results for a geometry-optimized U2MnFe structure.

## Properties
Total magnetization in μB per atom: 0.003
Formation energy in kJ/mol of atoms: 22.92
SG: P4/mmm
Calculated volume in Å³/cell: 66
Energy above the lowest structure with this stoichiometry in eV/atom: 0.024

extended XYZ file:
```
4
Lattice="3.3130 0.0000 0.0000 0.0000 3.3130 0.0000 0.0000 0.0000 6.0575" Properties=species:S:1:pos:R:3 pbc="T T T"
Mn 1.6565 1.6565 3.0288
U 0.0000 0.0000 4.7027
U 0.0000 0.0000 1.3548
Fe 1.6565 1.6565 0.0000
```



Entry 3:
DFT (GGA-PBE) results for a geometry-optimized MnVFe4 structure.

## Properties
Total magnetization in μB per atom: 1.393
Formation energy in kJ/mol of atoms: -2.82
SG: P2_1/c
Calculated volume in Å³/cell: 275

extended XYZ file:
```
24
Lattice="-2.3409 0.6060 -0.4005 -1.6116 -1.9709 6.5002 2.9637 14.9256 5.2603" Properties=species:S:1:pos:R:3 pbc="T T T"
Mn -1.1356 11.2622 8.7490
Mn 0.1469 2.2984 2.6111
Mn -0.2855 3.1936 6.5240
Mn -0.7033 10.3671 4.8361
V 0.8923 6.0374 3.9274
V -1.8811 7.5232 7.4327
V 0.0362 14.1062 6.1553
V -1.0249 -0.5456 5.2047
Fe -0.9927 8.8779 9.3132
Fe 0.0039 4.6828 2.0468
Fe -1.1646 1.8704 4.6531
Fe 0.1759 11.6902 6.7070
Fe -1.7440 5.1056 7.9811
Fe 0.7552 8.4551 3.3789
Fe 1.0518 13.0213 8.5857
Fe -2.0406 0.5393 2.7744
Fe -0.2590 12.5683 10.6094
Fe -0.7297 0.9924 0.7506
Fe -0.4331 5.5584 5.9573
Fe -0.5556 8.0022 5.4028
Fe -2.4824 1.4148 6.6875
Fe 1.4937 12.1458 4.6726
Fe 0.3250 9.3330 7.2786
Fe -1.3138 4.2276 4.0814
```



Entry 4:
DFT (GGA-PBE) results for a geometry-optimized Mn5V4Fe structure.

## Properties
Total magnetization in μB per atom: 0.384
Formation energy in kJ/mol of atoms: -16.42
SG: P4/mmm
Calculated volume in Å³/cell: 117

extended XYZ file:
```
10
Lattice="-1.9177 -2.1284 -0.2305 1.6409 -1.2625 -1.9935 6.8012 -7.2303 10.1772" Properties=species:S:1:pos:R:3 pbc="T T T"
Mn 0.5302 -2.4063 -0.1115
Mn 1.8905 -3.8524 1.9240
Mn 3.2622 -5.3106 3.9766
Mn 4.6339 -6.7689 6.0291
Mn 5.9942 -8.2150 8.0647
V 1.3370 -1.4214 2.0007
V 2.7131 -2.8843 4.0599
V 4.0881 -4.3460 6.1174
V 5.4642 -5.8090 8.1766
Fe 0.0000 0.0000 0.0000
```



Entry 5:
DFT (GGA-PBE) results for a geometry-optimized MnV2Fe structure.

## Properties
Total magnetization in μB per atom: 0.190
Formation energy in kJ/mol of atoms: 49.26
SG: Immm
Calculated volume in Å³/cell: 51

extended XYZ file:
```
4
Lattice="-2.0108 -4.7154 0.7818 0.8644 2.4900 -4.4657 1.5985 -2.9326 3.9667" Properties=species:S:1:pos:R:3 pbc="T T T"
Mn 0.0000 0.0000 0.0000
V -0.1070 -1.9842 1.2319
V -0.3053 -5.6639 3.5165
Fe -0.2061 -3.8240 2.3742
```



Entry 6:
DFT (GGA-PBE) results for a geometry-optimized Mn2V4Fe structure.

## Properties
Total magnetization in μB per atom: 0.000
Formation energy in kJ/mol of atoms: 4.40
SG: I4/mmm
Calculated volume in Å³/cell: 91
Energy above the lowest structure with this stoichiometry in eV/atom: 0.000

extended XYZ file:
```
7
Lattice="-2.3047 -1.0405 -4.2012 4.4732 -2.0085 -0.0303 -2.5480 -1.8184 3.7743" Properties=species:S:1:pos:R:3 pbc="T T T"
Mn 1.0843 -1.5245 -2.1158
Mn -2.4263 -1.4295 -0.2135
V -1.1523 -0.5202 -2.1006
V -0.1897 -2.4337 -0.2286
V -1.2740 -0.9092 1.8871
V 2.2366 -1.0042 -0.0152
Fe 0.0000 0.0000 0.0000
```



| no. | theoretical density (g cm⁻³) |
| --- | --- |
| 1 | 13.37 |
| 2 | 14.66 |
| 3 | 7.94 |
| 4 | 7.55 |
| 5 | 6.90 |
| 6 | 6.76 |